First-principles (PBE-GGA) data for an optimized crystal structure of HgIrW2, as listed in Alexandria.

Magnetic moment ... 0.00 μB per formula unit
Crystal system ... tetragonal
Space-group type ... I-4m2, No. 119
Theoretical density ... 19.10 g cm⁻³
E_form ... 528 meV per atom

Cell: 4.936 4.936 4.936 Å, 131.46 131.46 71.08°
Atoms (fractional coordinates):
W 0.000 0.000 0.000
W 0.250 0.750 0.500
Ir 0.750 0.250 0.500
Hg 0.500 0.500 0.000

First-principles (PBE-GGA) data for an optimized crystal structure of LiBeAg2, as listed in Alexandria.

Magnetic moment ... 0.00 μB per formula unit
Crystal system ... orthorhombic
Space-group type ... Cmmm, No. 65
Theoretical density ... 6.94 g cm⁻³
E_form ... -11 meV per atom

Cell: 6.821 4.365 2.912 Å, 90.00 64.73 129.72°
Atoms (fractional coordinates):
Li 0.500 0.500 0.000
Be 0.000 0.500 0.500
Ag 0.000 0.000 0.000
Ag 0.500 0.000 0.500